--- 1 ---
Computed, not measured: a crystal of SrMnP2 relaxed with PBEsol at the SCAN level of DFT.

Unit cell a=3.1485 b=3.4114 c=7.1249 alpha=103.85 beta=102.76 gamma=90.00
With the nearest neighbours (Å) after each atom.
Atoms (fractional coordinates):
Mn (0.2961, 0.7961, 0.5922)  6 P 2.26-2.46
P (0.9162, 0.9162, 0.8325)  2 Mn 2.26
P (0.7359, 0.2359, 0.4719)  4 Mn 2.46
Sr (0.5518, 0.5518, 0.1035)  6 P 2.95-3.01, 2 Sr 3.15

DOS(E_F), states/eV per atom: 0.49

---

--- 2 ---
Computed, not measured: a crystal of SrMnP2 relaxed with PBEsol at the SCAN level of DFT.

Unit cell a=4.8982 b=4.8982 c=7.7722 alpha=108.37 beta=108.37 gamma=90.00
With the nearest neighbours (Å) after each atom.
Atoms (fractional coordinates):
Sr (0.0000, 0.0000, 0.0000)  8 P 3.24, 4 Mn 3.46
Sr (0.2500, 0.7500, 0.5000)  8 P 3.24, 4 Mn 3.46
Mn (0.5000, 0.5000, 0.0000)  4 P 2.13
Mn (0.7500, 0.2500, 0.5000)  4 P 2.13
P (0.6250, 0.3750, 0.7500)  2 Mn 2.13
P (0.1250, 0.3750, 0.7500)  2 Mn 2.13
P (0.6250, 0.8750, 0.2500)  2 Mn 2.13
P (0.6250, 0.3750, 0.2500)  2 Mn 2.13

DOS(E_F), states/eV per atom: 0.30

---

Compare the structures above. Which one is the least stable? 1 is.